Record 1
First-principles (GGA-PBE) data for a geometry-optimized ThMnGe2Mo structure, as listed in the Alexandria database.

Output
ΔH_f (0 K) (eV per atom): -0.38
ρ (g/cm3): 9.3
Energy (eV/atom): -7.714
Space group: I-4m2 (119)

a b c (Å): 4.1074 4.1074 6.3235
angles (deg): 108.95 108.95 90.00
Fractional coordinates of all 5 atoms:
Mo (0.2500, 0.7500, 0.5000)
Mn (0.7500, 0.2500, 0.5000)
Th (0.0000, 0.0000, 0.0000)
Ge (0.6165, 0.6165, 0.2329)
Ge (0.3835, 0.3835, 0.7671)

***

Record 2
First-principles (GGA-PBE) data for a geometry-optimized MnVGeMo structure, as listed in the Alexandria database.

Output
ΔH_f (0 K) (eV per atom): -0.08
ρ (g/cm3): 8.3
Energy (eV/atom): -8.519
Space group: F-43m (216)

a b c (Å): 4.2695 4.2695 4.2695
angles (deg): 60.00 60.00 60.00
Fractional coordinates of all 4 atoms:
Mn (0.0000, 0.0000, 0.0000)
Mo (0.5000, 0.5000, 0.5000)
Ge (0.7500, 0.7500, 0.7500)
V (0.2500, 0.2500, 0.2500)

***

Record 3
First-principles (GGA-PBE) data for a geometry-optimized Mn3GeN structure, as listed in the Alexandria database.

Output
Offset from the most stable computed form (eV/atom): 0.571
ρ (g/cm3): 4.8
Formation energy from raw total energies (eV per atom): 0.2853
Energy (eV/atom): -7.805
Space group: Amm2 (38)

a b c (Å): 2.7560 6.8385 6.8385
angles (deg): 137.37 90.00 90.00
Fractional coordinates of all 5 atoms:
Mn (0.0000, 0.2597, 0.7403)
Mn (0.5000, 0.6866, 0.8257)
N (0.0000, 0.4110, 0.5890)
Mn (0.5000, 0.1743, 0.3134)
Ge (0.5000, 0.0966, 0.9034)

***

Record 4
First-principles (GGA-PBE) data for a geometry-optimized Mn5GeN structure, as listed in the Alexandria database.

Output
ρ (g/cm3): 7.8
Formation energy from raw total energies (eV per atom): 0.1131
Energy (eV/atom): -8.286
Space group: P4/mmm (123)

a b c (Å): 3.5126 3.5138 6.2564
angles (deg): 90.00 90.00 90.00
Fractional coordinates of all 7 atoms:
N (0.5000, 0.5000, 0.0000)
Mn (0.5000, 0.5000, 0.5000)
Mn (0.0000, 0.5000, 0.1932)
Mn (0.5000, 0.0000, 0.1931)
Ge (0.0000, 0.0000, 0.5000)
Mn (0.5000, 0.0000, 0.8069)
Mn (0.0000, 0.5000, 0.8068)

***

Record 5
First-principles (GGA-PBE) data for a geometry-optimized Mn3GeN structure, as listed in the Alexandria database.

Output
Offset from the most stable computed form (eV/atom): 0.770
ρ (g/cm3): 6.3
Formation energy from raw total energies (eV per atom): 0.4849
Energy (eV/atom): -7.605
Space group: Cmcm (63)

a b c (Å): 7.1159 7.1159 4.2701
angles (deg): 90.00 90.00 142.40
Fractional coordinates of all 10 atoms:
Ge (0.3885, 0.6115, 0.2500)
Mn (0.0000, 0.0000, 0.0000)
N (0.1129, 0.8871, 0.2500)
Mn (0.4761, 0.0540, 0.2500)
Mn (0.0000, 0.0000, 0.5000)
Mn (0.9460, 0.5239, 0.2500)
Ge (0.6115, 0.3885, 0.7500)
Mn (0.5239, 0.9460, 0.7500)
Mn (0.0540, 0.4761, 0.7500)
N (0.8871, 0.1129, 0.7500)

***

Record 6
First-principles (GGA-PBE) data for a geometry-optimized MnGeN3 structure, as listed in the Alexandria database.

Output
ρ (g/cm3): 5.2
Formation energy from raw total energies (eV per atom): 1.2818
Energy (eV/atom): -6.471
Space group: Pm-3m (221)

a b c (Å): 3.7799 3.7799 3.7799
angles (deg): 90.00 90.00 90.00
Fractional coordinates of all 5 atoms:
N (0.0000, 0.5000, 0.0000)
N (0.5000, 0.0000, 0.0000)
Mn (0.5000, 0.5000, 0.5000)
N (0.0000, 0.0000, 0.5000)
Ge (0.0000, 0.0000, 0.0000)

***

Record 7
First-principles (GGA-PBE) data for a geometry-optimized Mn21Ge2N6 structure, as listed in the Alexandria database.

Output
ρ (g/cm3): 8.0
Formation energy from raw total energies (eV per atom): -0.0377
Energy (eV/atom): -8.719
Space group: Fm-3m (225)

a b c (Å): 7.3918 7.3918 7.3918
angles (deg): 60.00 60.00 60.00
Fractional coordinates of all 29 atoms:
Mn (0.0000, 0.0000, 0.0000)
Mn (0.6152, 0.1544, 0.6152)
Mn (0.3848, 0.3848, 0.8456)
Mn (0.6695, 0.0000, 0.3305)
Mn (0.0000, 0.3305, 0.0000)
Mn (0.6695, 0.3305, 0.0000)
Mn (0.3305, 0.6695, 0.0000)
N (0.2734, 0.7266, 0.2734)
Mn (0.6152, 0.6152, 0.6152)
Mn (0.0000, 0.6695, 0.3305)
N (0.7266, 0.7266, 0.2734)
Mn (0.3848, 0.3848, 0.3848)
Ge (0.7500, 0.7500, 0.7500)
Ge (0.2500, 0.2500, 0.2500)
Mn (0.0000, 0.3305, 0.6695)
Mn (0.0000, 0.0000, 0.3305)
N (0.2734, 0.2734, 0.7266)
Mn (0.3848, 0.8456, 0.3848)
Mn (0.6695, 0.0000, 0.0000)
N (0.7266, 0.2734, 0.2734)
Mn (0.8456, 0.3848, 0.3848)
Mn (0.3305, 0.0000, 0.6695)
Mn (0.6152, 0.6152, 0.1544)
Mn (0.0000, 0.0000, 0.6695)
Mn (0.0000, 0.6695, 0.0000)
Mn (0.3305, 0.0000, 0.0000)
Mn (0.1544, 0.6152, 0.6152)
N (0.7266, 0.2734, 0.7266)
N (0.2734, 0.7266, 0.7266)

***

Record 8
First-principles (GGA-PBE) data for a geometry-optimized Mn3GeN structure, as listed in the Alexandria database.

Output
Offset from the most stable computed form (eV/atom): 0.168
ρ (g/cm3): 7.3
Formation energy from raw total energies (eV per atom): -0.1170
Energy (eV/atom): -8.207
Space group: C2/c (15)

a b c (Å): 9.9911 6.9445 6.9445
angles (deg): 80.37 124.41 55.59
Fractional coordinates of all 20 atoms:
N (0.2500, 0.5459, 0.0459)
Ge (0.4374, 0.8388, 0.0145)
Mn (0.9071, 0.0352, 0.0994)
Mn (0.4326, 0.1162, 0.2221)
N (0.7500, 0.1801, 0.6801)
Mn (0.9326, 0.2779, 0.3838)
Mn (0.5674, 0.8838, 0.7779)
Mn (0.4071, 0.4006, 0.4648)
Ge (0.0626, 0.5145, 0.3388)
Mn (0.5929, 0.5994, 0.5352)
Ge (0.9374, 0.4855, 0.6612)
Mn (0.4150, 0.6538, 0.7336)
Mn (0.0850, 0.2336, 0.1538)
Mn (0.0674, 0.7221, 0.6162)
Mn (0.9150, 0.7664, 0.8462)
Mn (0.0929, 0.9648, 0.9006)
N (0.7500, 0.4541, 0.9541)
Ge (0.5626, 0.1612, 0.9855)
N (0.2500, 0.8199, 0.3199)
Mn (0.5850, 0.3462, 0.2664)

***

Record 9
First-principles (GGA-PBE) data for a geometry-optimized MnGe2N2 structure, as listed in the Alexandria database.

Output
Offset from the most stable computed form (eV/atom): 0.337
ρ (g/cm3): 4.9
Formation energy from raw total energies (eV per atom): 0.7887
Energy (eV/atom): -6.222
Space group: I4/mmm (139)

a b c (Å): 4.3824 4.3824 5.0710
angles (deg): 64.40 64.40 90.00
Fractional coordinates of all 5 atoms:
N (0.4280, 0.4280, 0.1440)
Ge (0.2500, 0.7500, 0.5000)
Ge (0.7500, 0.2500, 0.5000)
Mn (0.0000, 0.0000, 0.0000)
N (0.5720, 0.5720, 0.8560)

***

Record 10
First-principles (GGA-PBE) data for a geometry-optimized Mn3GeN structure, as listed in the Alexandria database.

Output
Offset from the most stable computed form (eV/atom): 0.665
ρ (g/cm3): 6.6
Formation energy from raw total energies (eV per atom): 0.3801
Energy (eV/atom): -7.710
Space group: I-4m2 (119)

a b c (Å): 4.4413 4.4413 7.1107
angles (deg): 71.80 71.80 90.00
Fractional coordinates of all 10 atoms:
Mn (0.1172, 0.3749, 0.7655)
Mn (0.1172, 0.8596, 0.7655)
N (0.0000, 0.0000, 0.0000)
Mn (0.2887, 0.2887, 0.4227)
Mn (0.1404, 0.8828, 0.2345)
Mn (0.6251, 0.8828, 0.2345)
N (0.2500, 0.7500, 0.5000)
Mn (0.7113, 0.7113, 0.5773)
Ge (0.8614, 0.3614, 0.2771)
Ge (0.6386, 0.1386, 0.7229)

***

Record 11
First-principles (GGA-PBE) data for a geometry-optimized Mn3GeN structure, as listed in the Alexandria database.

Output
Offset from the most stable computed form (eV/atom): 0.039
ρ (g/cm3): 7.4
Formation energy from raw total energies (eV per atom): -0.2462
Energy (eV/atom): -8.336
Space group: Cmcm (63)

a b c (Å): 7.5351 2.9213 5.3294
angles (deg): 74.11 90.00 90.00
Fractional coordinates of all 10 atoms:
Mn (0.8620, 0.9356, 0.1107)
Mn (0.2854, 0.9357, 0.1107)
Mn (0.7855, 0.6766, 0.6314)
Mn (0.0738, 0.2669, 0.4494)
N (0.8238, 0.3062, 0.3710)
Mn (0.5738, 0.3456, 0.2927)
Mn (0.3621, 0.6766, 0.6313)
N (0.3238, 0.3062, 0.3710)
Ge (0.5737, 0.0519, 0.8805)
Ge (0.0738, 0.5606, 0.8614)

***

Record 12
First-principles (GGA-PBE) data for a geometry-optimized Mn3GeN structure, as listed in the Alexandria database.

Output
Offset from the most stable computed form (eV/atom): 0.083
ρ (g/cm3): 7.7
Formation energy from raw total energies (eV per atom): -0.2027
Energy (eV/atom): -8.293
Space group: Pm-3m (221)

a b c (Å): 3.7777 3.7777 3.7777
angles (deg): 90.00 90.00 90.00
Fractional coordinates of all 5 atoms:
Mn (0.0000, 0.5000, 0.0000)
Mn (0.0000, 0.0000, 0.5000)
Mn (0.5000, 0.0000, 0.0000)
Ge (0.5000, 0.5000, 0.5000)
N (0.0000, 0.0000, 0.0000)